A plane-wave DFT calculation with GGA+U was carried out for a relaxed structure of ZnCoCuF6.

SG ... No. 163
Magnetization ... 8.0 μB per cell
Electronic total energy ... -78.13 eV for the cell shown

a b c (Å): 5.233 5.233 8.928
angles (deg): 90.00 90.00 120.00
Sites, in units of the cell vectors:
Zn  0.333  0.667  0.250
Zn  0.667  0.333  0.750
Co  0.333  0.667  0.750
Co  0.667  0.333  0.250
Cu  0.000  0.000  0.000
Cu  0.000  0.000  0.500
F  0.002  0.335  0.628
F  0.002  0.667  0.872
F  0.333  0.335  0.872
F  0.333  0.998  0.628
F  0.335  0.002  0.128
F  0.335  0.333  0.372
F  0.665  0.667  0.628
F  0.665  0.998  0.872
F  0.667  0.002  0.372
F  0.667  0.665  0.128
F  0.998  0.333  0.128
F  0.998  0.665  0.372